## P
Here is an optimized crystal structure of KCdAs3 from Alexandria via LeMat-Bulk. Energies are from PBE.

The space group is Pm-3m (No. 221) and the conventional cell measures 5.486, 5.486 and 5.486 Å, with angles of 90.00, 90.00 and 90.00 degrees. Symmetry generates all atoms from K at (0.000, 0.000, 0.000), Cd at (0.500, 0.500, 0.500) and As at (0.000, 0.000, 0.500).


## Q
Here is an optimized crystal structure of KCdAs3 from Alexandria via LeMat-Bulk. Energies are from PBE.

The space group is Pm-3m (No. 221) and the conventional cell measures 5.305, 5.305 and 5.305 Å, with angles of 90.00, 90.00 and 90.00 degrees. Symmetry generates all atoms from K at (0.000, 0.000, 0.000), Cd at (0.500, 0.500, 0.500) and As at (0.000, 0.500, 0.500).


Short version: P is the least stable of them.


## P
Here is an optimized crystal structure of KLi2CdAs from Alexandria via LeMat-Bulk. Energies are from PBE.

The space group is P4/mmm (No. 123) and the conventional cell measures 5.263, 5.263 and 5.325 Å, with angles of 90.00, 90.00 and 90.00 degrees. Symmetry generates all atoms from K at (0.000, 0.000, 0.000), Li at (0.000, 0.500, 0.500), Cd at (0.500, 0.500, 0.500) and As at (0.500, 0.500, 0.000).


## Q
Here is an optimized crystal structure of KLi2CdAs from Alexandria via LeMat-Bulk. Energies are from PBE.

The space group is P4/mmm (No. 123) and the conventional cell measures 4.996, 4.996 and 5.758 Å, with angles of 90.00, 90.00 and 90.00 degrees. Symmetry generates all atoms from K at (0.000, 0.000, 0.000), Li at (0.000, 0.500, 0.500), Cd at (0.500, 0.500, 0.000) and As at (0.500, 0.500, 0.500).


Short version: P is the least stable of them.


## P
Here is an optimized crystal structure of KCdSbAs2 from Alexandria via LeMat-Bulk. Energies are from PBE.

The space group is P4/mmm (No. 123) and the conventional cell measures 5.487, 5.487 and 5.537 Å, with angles of 90.00, 90.00 and 90.00 degrees. Symmetry generates all atoms from K at (0.000, 0.000, 0.000), Cd at (0.000, 0.000, 0.500), Sb at (0.500, 0.500, 0.500) and As at (0.000, 0.500, 0.000).


## Q
Here is an optimized crystal structure of KCdSbAs2 from Alexandria via LeMat-Bulk. Energies are from PBE.

The space group is C2/m (No. 12) and the conventional cell measures 16.558, 4.454 and 9.526 Å, with angles of 90.00, 97.28 and 90.00 degrees. Symmetry generates all atoms from K at (0.176, 0.000, 0.169), Cd at (0.199, 0.000, 0.549), Sb at (0.072, 0.500, 0.686), As at (0.121, 0.500, 0.421) and As at (0.152, 0.000, 0.814).


Short version: P is the least stable of them.


## P
Here is an optimized crystal structure of KCdAsSe2 from Alexandria via LeMat-Bulk. Energies are from PBE.

The space group is P4/mmm (No. 123) and the conventional cell measures 5.625, 5.625 and 5.533 Å, with angles of 90.00, 90.00 and 90.00 degrees. Symmetry generates all atoms from K at (0.000, 0.000, 0.000), Cd at (0.500, 0.500, 0.500), As at (0.000, 0.000, 0.500) and Se at (0.000, 0.500, 0.000).


## Q
Here is an optimized crystal structure of KCdAsSe2 from Alexandria via LeMat-Bulk. Energies are from PBE.

The space group is P4/mmm (No. 123) and the conventional cell measures 5.454, 5.454 and 5.150 Å, with angles of 90.00, 90.00 and 90.00 degrees. Symmetry generates all atoms from K at (0.000, 0.000, 0.000), Cd at (0.500, 0.500, 0.500), As at (0.500, 0.500, 0.000) and Se at (0.000, 0.500, 0.500).


Short version: P is the least stable of them.


## P
Here is an optimized crystal structure of LaCd3As from Alexandria via LeMat-Bulk. Energies are from PBE.

The space group is Pm-3m (No. 221) and the conventional cell measures 5.269, 5.269 and 5.269 Å, with angles of 90.00, 90.00 and 90.00 degrees. Symmetry generates all atoms from La at (0.000, 0.000, 0.000), Cd at (0.000, 0.500, 0.500) and As at (0.500, 0.500, 0.500).


## Q
Here is an optimized crystal structure of LaCd3As from Alexandria via LeMat-Bulk. Energies are from PBE.

The space group is Pm-3m (No. 221) and the conventional cell measures 6.123, 6.123 and 6.123 Å, with angles of 90.00, 90.00 and 90.00 degrees. Symmetry generates all atoms from La at (0.000, 0.000, 0.000), Cd at (0.000, 0.000, 0.500) and As at (0.500, 0.500, 0.500).


Short version: Q is the least stable of them.


## P
Here is an optimized crystal structure of La2Cd2As from Alexandria via LeMat-Bulk. Energies are from PBE.

The space group is P4/mbm (No. 127) and the conventional cell measures 7.639, 7.639 and 4.867 Å, with angles of 90.00, 90.00 and 90.00 degrees. Symmetry generates all atoms from La at (0.169, 0.331, 0.000), Cd at (0.132, 0.632, 0.500) and As at (0.000, 0.000, 0.500).


## Q
Here is an optimized crystal structure of La2Cd2As from Alexandria via LeMat-Bulk. Energies are from PBE.

The space group is P4/mbm (No. 127) and the conventional cell measures 7.878, 7.878 and 5.124 Å, with angles of 90.00, 90.00 and 90.00 degrees. Symmetry generates all atoms from La at (0.160, 0.340, 0.000), Cd at (0.140, 0.640, 0.500) and As at (0.000, 0.000, 0.000).


Short version: P is the least stable of them.


## P
Here is an optimized crystal structure of La2Cd2As from Alexandria via LeMat-Bulk. Energies are from PBE.

The space group is I4/mmm (No. 139) and the conventional cell measures 6.213, 6.213 and 7.983 Å, with angles of 90.00, 90.00 and 90.00 degrees. Symmetry generates all atoms from La at (0.000, 0.500, 0.250), Cd at (0.000, 0.000, 0.161) and As at (0.000, 0.000, 0.500).


## Q
Here is an optimized crystal structure of La2Cd2As from Alexandria via LeMat-Bulk. Energies are from PBE.

The space group is I4/mmm (No. 139) and the conventional cell measures 3.967, 3.967 and 18.291 Å, with angles of 90.00, 90.00 and 90.00 degrees. Symmetry generates all atoms from La at (0.000, 0.000, 0.089), Cd at (0.000, 0.500, 0.250) and As at (0.000, 0.000, 0.500).


Short version: P is the least stable of them.


## P
Here is an optimized crystal structure of Li2CdAs2 from Alexandria via LeMat-Bulk. Energies are from PBE.

The space group is I4/mmm (No. 139) and the conventional cell measures 4.214, 4.214 and 10.795 Å, with angles of 90.00, 90.00 and 90.00 degrees. Symmetry generates all atoms from Li at (0.000, 0.500, 0.250), Cd at (0.000, 0.000, 0.000) and As at (0.000, 0.000, 0.388).


## Q
Here is an optimized crystal structure of Li2CdAs2 from Alexandria via LeMat-Bulk. Energies are from PBE.

The space group is P4/mbm (No. 127) and the conventional cell measures 7.976, 7.976 and 2.873 Å, with angles of 90.00, 90.00 and 90.00 degrees. Symmetry generates all atoms from Li at (0.121, 0.379, 0.000), Cd at (0.000, 0.000, 0.500) and As at (0.178, 0.678, 0.500).


Short version: P is the least stable of them.


## P
Here is an optimized crystal structure of LiCd2As2 from Alexandria via LeMat-Bulk. Energies are from PBE.

The space group is I4/mmm (No. 139) and the conventional cell measures 4.323, 4.323 and 12.655 Å, with angles of 90.00, 90.00 and 90.00 degrees. Symmetry generates all atoms from Li at (0.000, 0.000, 0.000), Cd at (0.000, 0.500, 0.250) and As at (0.000, 0.000, 0.393).


## Q
Here is an optimized crystal structure of LiCd2As2 from Alexandria via LeMat-Bulk. Energies are from PBE.

The space group is P4/mbm (No. 127) and the conventional cell measures 7.856, 7.856 and 3.542 Å, with angles of 90.00, 90.00 and 90.00 degrees. Symmetry generates all atoms from Li at (0.000, 0.000, 0.000), Cd at (0.134, 0.366, 0.500) and As at (0.172, 0.672, 0.000).


## R
Here is an optimized crystal structure of LiCd2As2 from Alexandria via LeMat-Bulk. Energies are from PBE.

The space group is I4/mmm (No. 139) and the conventional cell measures 4.344, 4.344 and 12.606 Å, with angles of 90.00, 90.00 and 90.00 degrees. Symmetry generates all atoms from Li at (0.000, 0.000, 0.000), Cd at (0.000, 0.000, 0.392) and As at (0.000, 0.500, 0.250).


Short version: R is the least stable of them.


## P
Here is an optimized crystal structure of Li3CdAs2 from Alexandria via LeMat-Bulk. Energies are from PBE.

The space group is Ibam (No. 72) and the conventional cell measures 6.210, 12.554 and 6.403 Å, with angles of 90.00, 90.00 and 90.00 degrees. Symmetry generates all atoms from Li at (0.000, 0.000, 0.250), Li at (0.000, 0.268, 0.250), Cd at (0.000, 0.500, 0.000) and As at (0.205, 0.140, 0.000).


## Q
Here is an optimized crystal structure of Li3CdAs2 from Alexandria via LeMat-Bulk. Energies are from PBE.

The space group is Pmc2_1 (No. 26) and the conventional cell measures 3.516, 8.347 and 7.304 Å, with angles of 90.00, 90.00 and 90.00 degrees. Symmetry generates all atoms from Li at (0.000, 0.088, 0.000), Li at (0.000, 0.333, 0.429), Li at (0.500, 0.164, 0.665), Cd at (0.500, 0.394, 0.101), As at (0.000, 0.377, 0.791) and As at (0.500, 0.118, 0.305).


Short version: P is the least stable of them.


## P
Here is an optimized crystal structure of LiCd3As from Alexandria via LeMat-Bulk. Energies are from PBE.

The space group is Pm-3m (No. 221) and the conventional cell measures 5.364, 5.364 and 5.364 Å, with angles of 90.00, 90.00 and 90.00 degrees. Symmetry generates all atoms from Li at (0.000, 0.000, 0.000), Cd at (0.000, 0.500, 0.500) and As at (0.500, 0.500, 0.500).


## Q
Here is an optimized crystal structure of LiCd3As from Alexandria via LeMat-Bulk. Energies are from PBE.

The space group is Pm-3m (No. 221) and the conventional cell measures 4.851, 4.851 and 4.851 Å, with angles of 90.00, 90.00 and 90.00 degrees. Symmetry generates all atoms from Li at (0.000, 0.000, 0.000), Cd at (0.000, 0.000, 0.500) and As at (0.500, 0.500, 0.500).


Short version: Q is the least stable of them.


## P
Here is an optimized crystal structure of MgCd3As from Alexandria via LeMat-Bulk. Energies are from PBE.

The space group is Pm-3m (No. 221) and the conventional cell measures 5.344, 5.344 and 5.344 Å, with angles of 90.00, 90.00 and 90.00 degrees. Symmetry generates all atoms from Mg at (0.000, 0.000, 0.000), Cd at (0.000, 0.500, 0.500) and As at (0.500, 0.500, 0.500).


## Q
Here is an optimized crystal structure of MgCd3As from Alexandria via LeMat-Bulk. Energies are from PBE.

The space group is Pm-3m (No. 221) and the conventional cell measures 5.276, 5.276 and 5.276 Å, with angles of 90.00, 90.00 and 90.00 degrees. Symmetry generates all atoms from Mg at (0.000, 0.000, 0.000), Cd at (0.000, 0.000, 0.500) and As at (0.500, 0.500, 0.500).


Short version: Q is the least stable of them.